(1)
A plane-wave DFT calculation with PBE-GGA was carried out for a relaxed structure of YPtO2F.

Properties
Space-group type: No. 123
M_tot, μB/atom: 0.408
Formation energy from raw total energies, eV per formula unit: -6.26
Calculated total energy, Ry/atom: -0.4492

a = 4.451 Å, b = 4.451 Å, c = 4.219 Å
α = 90.00°, β = 90.00°, γ = 90.00°
Sites, in units of the cell vectors:
1 Y 0.000 0.000 0.000
2 Pt 0.500 0.500 0.500
3 O 0.000 0.500 0.000
4 O 0.500 0.000 0.000
5 F 0.000 0.000 0.500

---

(2)
A plane-wave DFT calculation with PBE-GGA was carried out for a relaxed structure of YPtO2F.

Properties
Space-group type: No. 123
M_tot, μB/atom: 0.000
Formation energy from raw total energies, eV per formula unit: -5.99
Calculated total energy, Ry/atom: -0.4451

a = 4.093 Å, b = 4.093 Å, c = 4.277 Å
α = 90.00°, β = 90.00°, γ = 90.00°
Sites, in units of the cell vectors:
1 Y 0.000 0.000 0.000
2 Pt 0.500 0.500 0.500
3 O 0.000 0.500 0.500
4 O 0.500 0.000 0.500
5 F 0.500 0.500 0.000

---

(3)
A plane-wave DFT calculation with PBE-GGA was carried out for a relaxed structure of PuO3F.

Properties
Space-group type: No. 2
M_tot, μB/atom: 0.200
Formation energy from raw total energies, eV per formula unit: -11.16
Calculated total energy, Ry/atom: -0.6210

a = 3.479 Å, b = 6.336 Å, c = 7.963 Å
α = 89.95°, β = 89.95°, γ = 82.80°
Sites, in units of the cell vectors:
1 Pu 0.000 0.250 0.243
2 Pu 0.000 0.750 0.757
3 O 0.000 0.250 0.014
4 O 0.000 0.750 0.986
5 O 0.447 0.054 0.249
6 O 0.447 0.554 0.751
7 O 0.553 0.446 0.249
8 O 0.553 0.946 0.751
9 F 0.000 0.250 0.496
10 F 0.000 0.750 0.504

---

(4)
A plane-wave DFT calculation with PBE-GGA was carried out for a relaxed structure of Pu2OF.

Properties
Space-group type: No. 123
M_tot, μB/atom: 3.232
Formation energy from raw total energies, eV per formula unit: -7.02
Calculated total energy, Ry/atom: -0.7812
Excess energy over the best structure of this formula in the dataset, eV per atom: 0.397

a = 3.149 Å, b = 3.149 Å, c = 6.518 Å
α = 90.00°, β = 90.00°, γ = 90.00°
Sites, in units of the cell vectors:
1 Pu 0.000 0.000 0.231
2 Pu 0.000 0.000 0.769
3 O 0.500 0.500 0.000
4 F 0.500 0.500 0.500

---

(5)
A plane-wave DFT calculation with PBE-GGA was carried out for a relaxed structure of Pu3O8F2.

Properties
Space-group type: No. 2
M_tot, μB/atom: 0.462
Formation energy from raw total energies, eV per formula unit: -32.98
Calculated total energy, Ry/atom: -0.6750

a = 5.521 Å, b = 5.721 Å, c = 8.454 Å
α = 95.51°, β = 105.13°, γ = 110.06°
Sites, in units of the cell vectors:
1 Pu 0.000 0.000 0.000
2 Pu 0.147 0.511 0.705
3 Pu 0.853 0.489 0.295
4 O 0.002 0.738 0.774
5 O 0.035 0.757 0.125
6 O 0.199 0.678 0.499
7 O 0.302 0.298 0.657
8 O 0.698 0.702 0.343
9 O 0.801 0.322 0.501
10 O 0.965 0.243 0.875
11 O 0.998 0.262 0.226
12 F 0.455 0.231 0.096
13 F 0.545 0.769 0.904

---

(6)
A plane-wave DFT calculation with PBE-GGA was carried out for a relaxed structure of PuO2F4.

Properties
Space-group type: No. 2
M_tot, μB/atom: 1.154
Formation energy from raw total energies, eV per formula unit: -11.74
Calculated total energy, Ry/atom: -0.4565

a = 3.792 Å, b = 3.853 Å, c = 7.877 Å
α = 90.39°, β = 90.38°, γ = 90.93°
Sites, in units of the cell vectors:
1 Pu 0.000 0.000 0.000
2 O 0.213 0.332 0.493
3 O 0.787 0.668 0.507
4 F 0.009 0.510 0.845
5 F 0.497 0.982 0.156
6 F 0.503 0.018 0.844
7 F 0.991 0.490 0.155

---

(7)
A plane-wave DFT calculation with PBE-GGA was carried out for a relaxed structure of PuO2F2.

Properties
Space-group type: No. 2
M_tot, μB/atom: 0.400
Formation energy from raw total energies, eV per formula unit: -12.88
Calculated total energy, Ry/atom: -0.6007

a = 3.506 Å, b = 4.879 Å, c = 10.150 Å
α = 96.94°, β = 99.14°, γ = 90.06°
Sites, in units of the cell vectors:
1 Pu 0.129 0.172 0.250
2 Pu 0.871 0.828 0.750
3 O 0.183 0.486 0.366
4 O 0.414 0.711 0.843
5 O 0.586 0.289 0.157
6 O 0.817 0.514 0.634
7 F 0.071 0.823 0.125
8 F 0.319 0.983 0.637
9 F 0.681 0.017 0.363
10 F 0.929 0.177 0.875

---

(8)
A plane-wave DFT calculation with PBE-GGA was carried out for a relaxed structure of PuOF.

Properties
Space-group type: No. 129
M_tot, μB/atom: 1.667
Formation energy from raw total energies, eV per formula unit: -10.02
Calculated total energy, Ry/atom: -0.7639

a = 3.969 Å, b = 3.969 Å, c = 5.725 Å
α = 90.00°, β = 90.00°, γ = 90.00°
Sites, in units of the cell vectors:
1 Pu 0.250 0.250 0.211
2 Pu 0.750 0.750 0.789
3 O 0.250 0.750 0.000
4 O 0.750 0.250 0.000
5 F 0.250 0.750 0.500
6 F 0.750 0.250 0.500

---

(9)
A plane-wave DFT calculation with PBE-GGA was carried out for a relaxed structure of PuOF.

Properties
Space-group type: No. 216
M_tot, μB/atom: 1.667
Formation energy from raw total energies, eV per formula unit: -9.71
Calculated total energy, Ry/atom: -0.7562

a = 3.973 Å, b = 3.973 Å, c = 3.973 Å
α = 60.00°, β = 60.00°, γ = 60.00°
Sites, in units of the cell vectors:
1 Pu 0.000 0.000 0.000
2 O 0.750 0.750 0.750
3 F 0.250 0.250 0.250

---

(10)
A plane-wave DFT calculation with PBE-GGA was carried out for a relaxed structure of Pu3O3F5.

Properties
Space-group type: No. 189
M_tot, μB/atom: 1.182
Formation energy from raw total energies, eV per formula unit: -36.53
Calculated total energy, Ry/atom: -0.6933

a = 7.387 Å, b = 7.387 Å, c = 4.139 Å
α = 90.00°, β = 90.00°, γ = 120.00°
Sites, in units of the cell vectors:
1 Pu 0.000 0.643 0.000
2 Pu 0.357 0.357 0.000
3 Pu 0.643 0.000 0.000
4 O 0.000 0.646 0.500
5 O 0.354 0.354 0.500
6 O 0.646 0.000 0.500
7 F 0.000 0.276 0.000
8 F 0.276 0.000 0.000
9 F 0.333 0.667 0.000
10 F 0.667 0.333 0.000
11 F 0.724 0.724 0.000

---

(11)
A plane-wave DFT calculation with PBE-GGA was carried out for a relaxed structure of Pu2OF.

Properties
Space-group type: No. 166
M_tot, μB/atom: 2.917
Formation energy from raw total energies, eV per formula unit: -8.61
Calculated total energy, Ry/atom: -0.8104
Excess energy over the best structure of this formula in the dataset, eV per atom: 0.000

a = 6.862 Å, b = 6.862 Å, c = 6.862 Å
α = 29.02°, β = 29.02°, γ = 29.02°
Sites, in units of the cell vectors:
1 Pu 0.239 0.239 0.239
2 Pu 0.761 0.761 0.761
3 O 0.500 0.500 0.500
4 F 0.000 0.000 0.000

---

(12)
A plane-wave DFT calculation with PBE-GGA was carried out for a relaxed structure of Pu2O3F.

Properties
Space-group type: No. 72
M_tot, μB/atom: 1.500
Formation energy from raw total energies, eV per formula unit: -19.25
Calculated total energy, Ry/atom: -0.7921

a = 6.775 Å, b = 6.775 Å, c = 6.775 Å
α = 131.19°, β = 71.90°, γ = 130.71°
Sites, in units of the cell vectors:
1 Pu 0.140 0.207 0.346
2 Pu 0.360 0.707 0.067
3 Pu 0.640 0.293 0.933
4 Pu 0.860 0.793 0.654
5 O 0.015 0.750 0.265
6 O 0.250 0.250 0.000
7 O 0.485 0.750 0.735
8 O 0.515 0.250 0.265
9 O 0.750 0.750 0.000
10 O 0.985 0.250 0.735
11 F 0.000 0.500 0.500
12 F 0.500 0.000 0.500